Material: Pa2Be16Tc
Method: DFT, PBE
State: optimized geometry

Geometry as CIF:
```
data_Pa2Be16Tc
_cell_length_a 7.9468
_cell_length_b 7.9468
_cell_length_c 11.2298
_cell_angle_alpha 90.00
_cell_angle_beta 90.00
_cell_angle_gamma 120.00
_symmetry_space_group_name_H-M 'R 3 m'
_symmetry_Int_Tables_number 160
_symmetry_space_group_name_Hall 'R 3 -2"'
loop_
_atom_site_label
_atom_site_type_symbol
_atom_site_fract_x
_atom_site_fract_y
_atom_site_fract_z
Pa1 Pa 0.0000 0.0000 0.0000
Pa2 Pa 0.0000 0.0000 0.3230
Be1 Be 0.0000 0.0000 0.7503
Be2 Be 0.0012 0.2752 0.6503
Be3 Be 0.0033 0.5017 0.4946
Be4 Be 0.0057 0.5029 0.8145
Be5 Be 0.1716 0.3433 0.4870
Tc1 Tc 0.0000 0.0000 0.5393
```

Theoretical density: 5.71 Mg/m³
Energy of formation from the pure elements: -96 meV per atom
Total magnetic moment: 0.00 μB/atom